Material: YNpAsO2
Method: DFT, PBE
State: optimized geometry

Cell: 3.7965 3.7965 6.6365 Å, 106.62 106.62 90.00°
Site moments in Bohr magnetons follow the coordinates.
Atoms (fractional coordinates):
Y (0.8522, 0.8522, 0.7045)  0.00
Np (0.1487, 0.1487, 0.2974)  3.27
As (0.5030, 0.5030, 0.0061)  -0.14
O (0.7480, 0.2480, 0.4960)  -0.06
O (0.2480, 0.7480, 0.4960)  -0.06

Results
The calculation puts the volume at 87.5 Å³/cell. The space group is I4mm, No. 107. Its formation energy without anion corrections is -2.4057 eV per atom.